(1)
5
Lattice="4.857 0.000 0.000 0.000 4.857 0.000 0.000 0.000 4.589" Properties=species:S:1:pos:R:3 comment="Ga2SiIrSe (PBE, optimized geometry)" dos_ef_per_ev_atom=0.653 total_energy_ry_per_atom=-0.3604 m_tot_mub_per_cell=0.00 sg=P4/mmm formation_energy_uncorrected_mev_per_atom=-139 pbc="T T T"
Ga 0.000 2.429 0.000
Ga 2.429 0.000 0.000
Si 0.000 0.000 2.294
Ir 0.000 0.000 0.000
Se 2.429 2.429 2.294

(2)
5
Lattice="3.549 0.000 0.000 0.000 3.549 0.000 0.000 0.000 3.549" Properties=species:S:1:pos:R:3 comment="MoH3S (PBE, optimized geometry)" dos_ef_per_ev_atom=0.914 total_energy_ry_per_atom=-0.3185 m_tot_mub_per_cell=0.00 sg=Pm-3m relative_energy_mev_per_atom=0 pbc="T T T"
Mo 0.000 0.000 0.000
H 0.000 0.000 1.775
H 0.000 1.775 0.000
H 1.775 0.000 0.000
S 1.775 1.775 1.775

(3)
5
Lattice="3.931 0.000 0.000 0.000 3.931 0.000 0.000 0.000 3.912" Properties=species:S:1:pos:R:3 comment="TiHIr2Rh (PBE, optimized geometry)" dos_ef_per_ev_atom=0.266 total_energy_ry_per_atom=-0.5714 m_tot_mub_per_cell=0.00 sg=P4/mmm relative_energy_mev_per_atom=0 pbc="T T T"
Ti 0.000 0.000 0.000
H 1.966 1.966 1.956
Ir 0.000 1.966 1.956
Ir 1.966 0.000 1.956
Rh 1.966 1.966 0.000

(4)
20
Lattice="11.521 0.000 0.000 0.000 4.094 0.000 -3.885 0.000 11.132" Properties=species:S:1:pos:R:3 comment="PmTm3Se6 (PBE, optimized geometry)" total_energy_ry_per_atom=-0.4248 m_tot_mub_per_cell=0.00 sg=P2_1/m relative_energy_mev_per_atom=0 formation_energy_uncorrected_mev_per_atom=-1872 pbc="T T T"
Pm -0.217 1.023 2.180
Pm 7.853 3.070 8.952
Tm -0.441 1.023 6.520
Tm -0.217 3.070 11.131
Tm 3.751 1.023 3.714
Tm 3.885 3.070 7.419
Tm 7.853 1.023 0.001
Tm 8.077 3.070 4.612
Se -0.620 3.070 4.516
Se -2.409 1.023 10.750
Se -0.645 3.070 8.352
Se 2.128 3.070 2.522
Se 2.359 1.023 6.229
Se 5.080 1.023 1.270
Se 2.556 3.070 9.863
Se 5.277 3.070 4.904
Se 5.508 1.023 8.610
Se 8.281 1.023 2.780
Se 10.045 3.070 0.382
Se 8.256 1.023 6.617

(5)
5
Lattice="6.589 0.000 0.000 0.000 6.589 0.000 0.000 0.000 5.666" Properties=species:S:1:pos:R:3 comment="K2ZrCrBi (PBE, optimized geometry)" dos_ef_per_ev_atom=0.989 total_energy_ry_per_atom=-0.2851 m_tot_mub_per_cell=6.87 ef_ev_per_atom=0.9712 sg=P4/mmm pbc="T T T"
K 0.000 3.294 0.000
K 3.294 0.000 0.000
Zr 0.000 0.000 2.833
Cr 3.294 3.294 2.833
Bi 0.000 0.000 0.000

(6)
11
Lattice="2.808 1.621 5.437 -2.808 1.621 5.437 0.000 -3.243 5.437" Properties=species:S:1:pos:R:3 comment="Ac2P2PdN6 (PBE, optimized geometry)" dos_ef_per_ev_atom=0.039 total_energy_ry_per_atom=-0.5358 m_tot_mub_per_cell=0.00 sg=R-3m formation_energy_uncorrected_mev_per_atom=-546 pbc="T T T"
Ac 0.000 0.000 3.657
Ac 0.000 0.000 12.653
P 0.000 0.000 7.021
P 0.000 0.000 9.289
Pd 0.000 0.000 0.000
N -1.397 -0.807 9.488
N 0.000 -1.614 6.822
N -1.397 0.807 6.822
N 1.397 -0.807 9.488
N 0.000 1.614 9.488
N 1.397 0.807 6.822